LiCrP2W | PBE | optimized geometry

Properties
ΔE_f in eV per atom: 1.0171
N(E_F) in states/eV/f.u.: 4.4

The structure in CIF format:
```
data_LiCrP2W
_cell_length_a 4.330
_cell_length_b 4.330
_cell_length_c 4.076
_cell_angle_alpha 90.00
_cell_angle_beta 90.00
_cell_angle_gamma 90.00
_symmetry_space_group_name_H-M 'P 4/m m m'
_symmetry_Int_Tables_number 123
_symmetry_space_group_name_Hall '-P 4 2'
loop_
_atom_site_label
_atom_site_fract_x
_atom_site_fract_y
_atom_site_fract_z
Li1 0.000 0.000 0.000
Cr1 0.000 0.000 0.500
P1 0.000 0.500 0.500
W1 0.500 0.500 0.000
```


LiPa2CrS6 | PBE | optimized geometry

Properties
ΔE_f (raw) in meV per atom: -1301.9
N(E_F) in states/eV/f.u.: 5.4

The structure in CIF format:
```
data_LiPa2CrS6
_cell_length_a 6.5394
_cell_length_b 6.5394
_cell_length_c 18.3053
_cell_angle_alpha 90.00
_cell_angle_beta 90.00
_cell_angle_gamma 120.00
_symmetry_space_group_name_H-M 'R 3'
_symmetry_Int_Tables_number 146
_symmetry_space_group_name_Hall 'R 3'
loop_
_atom_site_label
_atom_site_fract_x
_atom_site_fract_y
_atom_site_fract_z
Li1 0.0000 0.0000 0.0000
Pa1 0.0000 0.0000 0.3010
Pa2 0.0000 0.0000 0.8071
Cr1 0.0000 0.0000 0.4868
S1 0.0039 0.3595 0.2288
S2 0.0310 0.6723 0.0659
```


Li2Pa2CrS6 | PBE | optimized geometry

Properties
ΔE_f (raw) in meV per atom: -1302.7
N(E_F) in states/eV/f.u.: 10.1

The structure in CIF format:
```
data_Li2Pa2CrS6
_cell_length_a 6.650
_cell_length_b 11.561
_cell_length_c 6.473
_cell_angle_alpha 90.00
_cell_angle_beta 108.09
_cell_angle_gamma 90.00
_symmetry_space_group_name_H-M 'C 1 2/m 1'
_symmetry_Int_Tables_number 12
_symmetry_space_group_name_Hall '-C 2y'
loop_
_atom_site_label
_atom_site_fract_x
_atom_site_fract_y
_atom_site_fract_z
Li1 0.000 0.160 0.000
Pa1 0.000 0.342 0.500
Cr1 0.000 0.000 0.500
S1 0.227 0.000 0.256
S2 0.240 0.171 0.741
```